1.
# Rb2AgGeF6 | Alexandria | PBE | optimized geometry
data_Rb2AgGeF6
_space_group_name_H-M_alt 'I 4/m m m'
_space_group_IT_number 139
_space_group_name_Hall '-I 4 2'
_cell_length_a 6.2917
_cell_length_b 6.2917
_cell_length_c 8.9327
_cell_angle_alpha 90.00
_cell_angle_beta 90.00
_cell_angle_gamma 90.00
loop_
_atom_site_label
_atom_site_type_symbol
_atom_site_fract_x
_atom_site_fract_y
_atom_site_fract_z
Rb1 Rb 0.0000 0.5000 0.2500
Ag1 Ag 0.0000 0.0000 0.0000
Ge1 Ge 0.0000 0.0000 0.5000
F1 F 0.0000 0.0000 0.2755
F2 F 0.2254 0.2254 0.5000
# V   17.68 A^3/atom
# Fermi-level density of states   0.234 states/eV/atom
# E_tot   -86.0 eV/cell
# M_tot   0.00 Bohr magnetons per cell


2.
# RbAg2GeF8 | Alexandria | PBE | optimized geometry
data_RbAg2GeF8
_space_group_name_H-M_alt 'P -1'
_space_group_IT_number 2
_space_group_name_Hall '-P 1'
_cell_length_a 4.9478
_cell_length_b 5.3940
_cell_length_c 7.6180
_cell_angle_alpha 92.53
_cell_angle_beta 96.91
_cell_angle_gamma 100.18
loop_
_atom_site_label
_atom_site_type_symbol
_atom_site_fract_x
_atom_site_fract_y
_atom_site_fract_z
Rb1 Rb 0.0000 0.0000 0.0000
Ag1 Ag 0.4067 0.5074 0.7610
Ge1 Ge 0.0000 0.0000 0.5000
F1 F 0.1004 0.8032 0.3292
F2 F 0.1704 0.8334 0.6747
F3 F 0.3212 0.2409 0.5032
F4 F 0.4440 0.7176 0.0226
# V   16.52 A^3/atom
# Fermi-level density of states   0.012 states/eV/atom
# E_tot   -49.7 eV/cell
# M_tot   0.98 Bohr magnetons per cell


3.
# AgGeRuF2 | Alexandria | PBE | optimized geometry
data_AgGeRuF2
_space_group_name_H-M_alt 'P 4/m m m'
_space_group_IT_number 123
_space_group_name_Hall '-P 4 2'
_cell_length_a 4.0517
_cell_length_b 4.0517
_cell_length_c 5.1913
_cell_angle_alpha 90.00
_cell_angle_beta 90.00
_cell_angle_gamma 90.00
loop_
_atom_site_label
_atom_site_type_symbol
_atom_site_fract_x
_atom_site_fract_y
_atom_site_fract_z
Ag1 Ag 0.0000 0.0000 0.0000
Ge1 Ge 0.5000 0.5000 0.5000
Ru1 Ru 0.5000 0.5000 0.0000
F1 F 0.0000 0.5000 0.5000
# V   17.04 A^3/atom
# Fermi-level density of states   1.257 states/eV/atom
# E_tot   -22.0 eV/cell
# M_tot   2.03 Bohr magnetons per cell


4.
# SiAgGeF2 | Alexandria | PBE | optimized geometry
data_SiAgGeF2
_space_group_name_H-M_alt 'P 4/m m m'
_space_group_IT_number 123
_space_group_name_Hall '-P 4 2'
_cell_length_a 4.1479
_cell_length_b 4.1479
_cell_length_c 5.5318
_cell_angle_alpha 90.00
_cell_angle_beta 90.00
_cell_angle_gamma 90.00
loop_
_atom_site_label
_atom_site_type_symbol
_atom_site_fract_x
_atom_site_fract_y
_atom_site_fract_z
Si1 Si 0.0000 0.0000 0.0000
Ag1 Ag 0.5000 0.5000 0.5000
Ge1 Ge 0.5000 0.5000 0.0000
F1 F 0.0000 0.5000 0.5000
# V   19.03 A^3/atom
# Fermi-level density of states   0.662 states/eV/atom
# E_tot   -17.7 eV/cell
# M_tot   0.00 Bohr magnetons per cell


5.
# SrAg2GeF8 | Alexandria | PBE | optimized geometry
data_SrAg2GeF8
_space_group_name_H-M_alt 'P 1 2/m 1'
_space_group_IT_number 10
_space_group_name_Hall '-P 2y'
_cell_length_a 4.5637
_cell_length_b 7.2570
_cell_length_c 5.7645
_cell_angle_alpha 90.00
_cell_angle_beta 94.67
_cell_angle_gamma 90.00
loop_
_atom_site_label
_atom_site_type_symbol
_atom_site_fract_x
_atom_site_fract_y
_atom_site_fract_z
Sr1 Sr 0.0000 0.0000 0.0000
Ag1 Ag 0.5000 0.2569 0.5000
Ge1 Ge 0.0000 0.5000 0.0000
F1 F 0.1374 0.3124 0.8203
F2 F 0.3309 0.5000 0.1986
F3 F 0.4589 0.0000 0.2416
# V   15.86 A^3/atom
# Fermi-level density of states   0.000 states/eV/atom
# E_tot   -54.7 eV/cell
# M_tot   0.00 Bohr magnetons per cell


6.
# Ag2GeTeF | Alexandria | PBE | optimized geometry
data_Ag2GeTeF
_space_group_name_H-M_alt 'P 4/m m m'
_space_group_IT_number 123
_space_group_name_Hall '-P 4 2'
_cell_length_a 5.3799
_cell_length_b 5.3799
_cell_length_c 4.2704
_cell_angle_alpha 90.00
_cell_angle_beta 90.00
_cell_angle_gamma 90.00
loop_
_atom_site_label
_atom_site_type_symbol
_atom_site_fract_x
_atom_site_fract_y
_atom_site_fract_z
Ag1 Ag 0.0000 0.5000 0.0000
Ge1 Ge 0.0000 0.0000 0.5000
Te1 Te 0.5000 0.5000 0.0000
F1 F 0.5000 0.5000 0.5000
# V   24.72 A^3/atom
# Fermi-level density of states   0.700 states/eV/atom
# E_tot   -14.8 eV/cell
# M_tot   0.00 Bohr magnetons per cell


7.
# TlAg2GeF8 | Alexandria | PBE | optimized geometry
data_TlAg2GeF8
_space_group_name_H-M_alt 'P -3 m 1'
_space_group_IT_number 164
_space_group_name_Hall '-P 3 2"'
_cell_length_a 5.4513
_cell_length_b 5.4513
_cell_length_c 7.9362
_cell_angle_alpha 90.00
_cell_angle_beta 90.00
_cell_angle_gamma 120.00
loop_
_atom_site_label
_atom_site_type_symbol
_atom_site_fract_x
_atom_site_fract_y
_atom_site_fract_z
Tl1 Tl 0.0000 0.0000 0.0000
Ag1 Ag 0.3333 0.6667 0.3530
Ge1 Ge 0.0000 0.0000 0.5000
F1 F 0.1591 0.3182 0.6319
F2 F 0.3333 0.6667 0.0924
# V   17.02 A^3/atom
# Fermi-level density of states   0.412 states/eV/atom
# E_tot   -48.1 eV/cell
# M_tot   1.02 Bohr magnetons per cell


8.
# Tl2AgGeF6 | Alexandria | PBE | optimized geometry
data_Tl2AgGeF6
_space_group_name_H-M_alt 'P m m n'
_space_group_IT_number 59
_cell_length_a 6.2800
_cell_length_b 8.9232
_cell_length_c 6.3103
_cell_angle_alpha 90.00
_cell_angle_beta 90.00
_cell_angle_gamma 90.00
loop_
_space_group_symop_operation_xyz
'x,y,z'
'-x,-y,-z'
'-x+1/2,-y+1/2,z'
'x+1/2,y+1/2,-z'
'x+1/2,-y,-z'
'-x+1/2,y,z'
'-x,y+1/2,-z'
'x,-y+1/2,z'
loop_
_atom_site_label
_atom_site_type_symbol
_atom_site_fract_x
_atom_site_fract_y
_atom_site_fract_z
Tl1 Tl 0.2500 0.9999 0.2501
Ag1 Ag 0.2500 0.2500 0.7504
Ge1 Ge 0.2500 0.7500 0.7496
F1 F 0.0230 0.7500 0.5240
F2 F 0.0231 0.7500 0.9753
F3 F 0.2500 0.5242 0.7494
# V   17.68 A^3/atom
# Fermi-level density of states   0.317 states/eV/atom
# E_tot   -82.7 eV/cell
# M_tot   0.00 Bohr magnetons per cell


9.
# TlAgGeF6 | Alexandria | PBE | optimized geometry
data_TlAgGeF6
_space_group_name_H-M_alt 'P 1'
_space_group_IT_number 1
_space_group_name_Hall 'P 1'
_cell_length_a 5.4151
_cell_length_b 5.9809
_cell_length_c 6.0039
_cell_angle_alpha 60.13
_cell_angle_beta 89.95
_cell_angle_gamma 89.90
loop_
_atom_site_label
_atom_site_type_symbol
_atom_site_fract_x
_atom_site_fract_y
_atom_site_fract_z
Tl1 Tl 0.0000 0.0000 0.0000
Ag1 Ag 0.4994 0.3342 0.3314
Ge1 Ge 0.5009 0.6664 0.6671
F1 F 0.3050 0.4189 0.9206
F2 F 0.3051 0.6637 0.4182
F3 F 0.3094 0.9230 0.6634
F4 F 0.6923 0.4142 0.6621
F5 F 0.6965 0.6589 0.9215
F6 F 0.6967 0.9186 0.4191
# V   18.74 A^3/atom
# Fermi-level density of states   0.000 states/eV/atom
# E_tot   -39.6 eV/cell
# M_tot   0.12 Bohr magnetons per cell


10.
# AgH2F3 | Alexandria | PBE | optimized geometry
data_AgH2F3
_space_group_name_H-M_alt 'C 1 2/c 1'
_space_group_IT_number 15
_space_group_name_Hall '-C 2yc'
_cell_length_a 8.2668
_cell_length_b 6.0955
_cell_length_c 7.2234
_cell_angle_alpha 90.00
_cell_angle_beta 124.89
_cell_angle_gamma 90.00
loop_
_atom_site_label
_atom_site_type_symbol
_atom_site_fract_x
_atom_site_fract_y
_atom_site_fract_z
Ag1 Ag 0.0000 0.0911 0.2500
H1 H 0.1405 0.4460 0.8014
F1 F 0.0000 0.3198 0.7500
F2 F 0.2479 0.4322 0.3410
# V   12.44 A^3/atom
# Fermi-level density of states   0.000 states/eV/atom
# E_tot   -94.7 eV/cell
# M_tot   0.00 Bohr magnetons per cell


11.
# AgHF4 | Alexandria | PBE | optimized geometry
data_AgHF4
_space_group_name_H-M_alt 'C 1 2/c 1'
_space_group_IT_number 15
_space_group_name_Hall '-C 2yc'
_cell_length_a 6.2903
_cell_length_b 10.3939
_cell_length_c 5.1943
_cell_angle_alpha 90.00
_cell_angle_beta 117.93
_cell_angle_gamma 90.00
loop_
_atom_site_label
_atom_site_type_symbol
_atom_site_fract_x
_atom_site_fract_y
_atom_site_fract_z
Ag1 Ag 0.0000 0.1029 0.2500
H1 H 0.0000 0.2411 0.7500
F1 F 0.0918 0.2459 0.6014
F2 F 0.2169 0.0419 0.0496
# V   12.50 A^3/atom
# Fermi-level density of states   0.225 states/eV/atom
# E_tot   -79.7 eV/cell
# M_tot   7.92 Bohr magnetons per cell


12.
# Ag2HF | Alexandria | PBE | optimized geometry
data_Ag2HF
_space_group_name_H-M_alt 'I -4 2 d'
_space_group_IT_number 122
_space_group_name_Hall 'I -4 2bw'
_cell_length_a 5.0931
_cell_length_b 5.0931
_cell_length_c 8.8536
_cell_angle_alpha 90.00
_cell_angle_beta 90.00
_cell_angle_gamma 90.00
loop_
_atom_site_label
_atom_site_type_symbol
_atom_site_fract_x
_atom_site_fract_y
_atom_site_fract_z
Ag1 Ag 0.1640 0.2500 0.1250
H1 H 0.0000 0.0000 0.0000
F1 F 0.0000 0.0000 0.5000
# V   14.35 A^3/atom
# Fermi-level density of states   0.000 states/eV/atom
# E_tot   -51.5 eV/cell
# M_tot   0.00 Bohr magnetons per cell


13.
# AgH2F3 | Alexandria | PBE | optimized geometry
data_AgH2F3
_space_group_name_H-M_alt 'P 1 21/m 1'
_space_group_IT_number 11
_space_group_name_Hall '-P 2yb'
_cell_length_a 4.8389
_cell_length_b 3.1343
_cell_length_c 8.9952
_cell_angle_alpha 90.00
_cell_angle_beta 101.35
_cell_angle_gamma 90.00
loop_
_atom_site_label
_atom_site_type_symbol
_atom_site_fract_x
_atom_site_fract_y
_atom_site_fract_z
Ag1 Ag 0.2330 0.2500 0.3815
H1 H 0.2539 0.2500 0.7515
H2 H 0.2734 0.2500 0.9980
F1 F 0.1292 0.2500 0.8230
F2 F 0.2724 0.7500 0.6050
F3 F 0.3543 0.2500 0.1049
# V   11.15 A^3/atom
# E_tot   -46.0 eV/cell
# M_tot   0.00 Bohr magnetons per cell


14.
# AgH3F | Alexandria | PBE | optimized geometry
data_AgH3F
_space_group_name_H-M_alt 'P m -3 m'
_space_group_IT_number 221
_space_group_name_Hall '-P 4 2 3'
_cell_length_a 3.5030
_cell_length_b 3.5030
_cell_length_c 3.5030
_cell_angle_alpha 90.00
_cell_angle_beta 90.00
_cell_angle_gamma 90.00
loop_
_atom_site_label
_atom_site_type_symbol
_atom_site_fract_x
_atom_site_fract_y
_atom_site_fract_z
Ag1 Ag 0.0000 0.0000 0.0000
H1 H 0.0000 0.0000 0.5000
F1 F 0.5000 0.5000 0.5000
# V   8.60 A^3/atom
# Fermi-level density of states   0.328 states/eV/atom
# E_tot   -13.1 eV/cell
# M_tot   0.00 Bohr magnetons per cell


15.
# AgHF | Alexandria | PBE | optimized geometry
data_AgHF
_space_group_name_H-M_alt 'P -1'
_space_group_IT_number 2
_space_group_name_Hall '-P 1'
_cell_length_a 3.3598
_cell_length_b 3.4866
_cell_length_c 7.3903
_cell_angle_alpha 90.16
_cell_angle_beta 92.76
_cell_angle_gamma 90.30
loop_
_atom_site_label
_atom_site_type_symbol
_atom_site_fract_x
_atom_site_fract_y
_atom_site_fract_z
Ag1 Ag 0.2337 0.3672 0.3406
H1 H 0.0485 0.4322 0.9672
F1 F 0.2728 0.1258 0.6884
# V   14.41 A^3/atom
# Fermi-level density of states   0.078 states/eV/atom
# E_tot   -19.9 eV/cell
# M_tot   0.00 Bohr magnetons per cell


16.
# AgHF4 | Alexandria | PBE | optimized geometry
data_AgHF4
_space_group_name_H-M_alt 'C 1 2/c 1'
_space_group_IT_number 15
_space_group_name_Hall '-C 2yc'
_cell_length_a 5.1590
_cell_length_b 12.5387
_cell_length_c 5.1947
_cell_angle_alpha 90.00
_cell_angle_beta 95.18
_cell_angle_gamma 90.00
loop_
_atom_site_label
_atom_site_type_symbol
_atom_site_fract_x
_atom_site_fract_y
_atom_site_fract_z
Ag1 Ag 0.0000 0.1855 0.2500
H1 H 0.0000 0.4197 0.7500
F1 F 0.2231 0.4303 0.7494
F2 F 0.2433 0.2027 0.7466
# V   13.94 A^3/atom
# E_tot   -82.5 eV/cell
# M_tot   0.00 Bohr magnetons per cell


17.
# AgH2F4 | Alexandria | PBE | optimized geometry
data_AgH2F4
_space_group_name_H-M_alt 'C c c m'
_space_group_IT_number 66
_space_group_name_Hall '-C 2 2c'
_cell_length_a 5.6309
_cell_length_b 6.1733
_cell_length_c 10.5552
_cell_angle_alpha 90.00
_cell_angle_beta 90.00
_cell_angle_gamma 90.00
loop_
_atom_site_label
_atom_site_type_symbol
_atom_site_fract_x
_atom_site_fract_y
_atom_site_fract_z
Ag1 Ag 0.0000 0.0000 0.2500
H1 H 0.1145 0.3697 0.0000
F1 F 0.2388 0.4733 0.0000
F2 F 0.2500 0.2500 0.2494
# V   13.10 A^3/atom
# Fermi-level density of states   0.219 states/eV/atom
# E_tot   -104.2 eV/cell
# M_tot   0.00 Bohr magnetons per cell


18.
# Ag2H3F6 | Alexandria | PBE | optimized geometry
data_Ag2H3F6
_space_group_name_H-M_alt 'C 1 2/c 1'
_space_group_IT_number 15
_space_group_name_Hall '-C 2yc'
_cell_length_a 11.2087
_cell_length_b 6.5637
_cell_length_c 10.4225
_cell_angle_alpha 90.00
_cell_angle_beta 115.82
_cell_angle_gamma 90.00
loop_
_atom_site_label
_atom_site_type_symbol
_atom_site_fract_x
_atom_site_fract_y
_atom_site_fract_z
Ag1 Ag 0.0796 0.2448 0.0078
H1 H 0.0000 0.4827 0.2500
H2 H 0.1643 0.0877 0.7548
F1 F 0.0097 0.4819 0.3642
F2 F 0.1034 0.0512 0.6238
F3 F 0.2103 0.1216 0.8659
# V   15.69 A^3/atom
# Fermi-level density of states   0.093 states/eV/atom
# E_tot   -168.8 eV/cell
# M_tot   4.23 Bohr magnetons per cell


19.
# Ag2HF3 | Alexandria | PBE | optimized geometry
data_Ag2HF3
_space_group_name_H-M_alt 'P -1'
_space_group_IT_number 2
_space_group_name_Hall '-P 1'
_cell_length_a 4.6153
_cell_length_b 5.3106
_cell_length_c 7.2238
_cell_angle_alpha 85.53
_cell_angle_beta 74.63
_cell_angle_gamma 74.35
loop_
_atom_site_label
_atom_site_type_symbol
_atom_site_fract_x
_atom_site_fract_y
_atom_site_fract_z
Ag1 Ag 0.0449 0.2217 0.0856
Ag2 Ag 0.2502 0.2492 0.4989
H1 H 0.3904 0.7185 0.1951
F1 F 0.2067 0.7601 0.6066
F2 F 0.2224 0.6022 0.1969
F3 F 0.4394 0.1462 0.8108
# V   13.70 A^3/atom
# E_tot   -43.5 eV/cell
# M_tot   0.00 Bohr magnetons per cell


20.
# AgHF5 | Alexandria | PBE | optimized geometry
data_AgHF5
_space_group_name_H-M_alt 'P -1'
_space_group_IT_number 2
_space_group_name_Hall '-P 1'
_cell_length_a 4.1709
_cell_length_b 5.2581
_cell_length_c 10.3117
_cell_angle_alpha 79.96
_cell_angle_beta 88.02
_cell_angle_gamma 67.10
loop_
_atom_site_label
_atom_site_type_symbol
_atom_site_fract_x
_atom_site_fract_y
_atom_site_fract_z
Ag1 Ag 0.2448 0.2523 0.2506
H1 H 0.0000 0.5000 0.0000
H2 H 0.5000 0.0000 0.5000
F1 F 0.0989 0.5587 0.0892
F2 F 0.1116 0.5220 0.3676
F3 F 0.2552 0.7479 0.7493
F4 F 0.3781 0.9828 0.1335
F5 F 0.3902 0.9456 0.4120
# V   14.64 A^3/atom
# Fermi-level density of states   0.747 states/eV/atom
# E_tot   -44.9 eV/cell
# M_tot   0.14 Bohr magnetons per cell